1.
Entry from Alexandria: a relaxed structure of CsGa2Bi (GGA-PBE).

Cell lengths 4.8259, 4.8259, 21.8736 Å; angles 90.00, 90.00, 120.00 degrees
Space group R-3m (No. 166, hexagonal axes)
Inequivalent atoms, fractional coordinates:
1 Cs 0.0000 0.0000 0.0000
2 Ga 0.0000 0.0000 0.2216
3 Bi 0.0000 0.0000 0.5000

The crystal system is trigonal. The formation energy is -68 meV/atom. For the calculated total energy, the calculation gives -2.765 eV/atom.



2.
Entry from Alexandria: a relaxed structure of CsGaBi2 (GGA-PBE).

Cell lengths 4.1452, 4.1452, 8.3134 Å; angles 90.00, 90.00, 90.00 degrees
Space group P4/mmm (No. 123)
Inequivalent atoms, fractional coordinates:
1 Cs 0.0000 0.0000 0.0000
2 Ga 0.0000 0.0000 0.5000
3 Bi 0.5000 0.5000 0.3233

The crystal system is tetragonal. The formation energy is -40 meV/atom. For the calculated total energy, the calculation gives -2.950 eV/atom.



3.
Entry from Alexandria: a relaxed structure of Cs2Ga2Bi (GGA-PBE).

Cell lengths 11.3980, 11.3980, 3.4027 Å; angles 90.00, 90.00, 90.00 degrees
Space group P4/mbm (No. 127)
Inequivalent atoms, fractional coordinates:
1 Cs 0.2123 0.2877 0.0000
2 Ga 0.0768 0.5768 0.5000
3 Bi 0.0000 0.0000 0.0000

The crystal system is tetragonal. The formation energy is 271 meV/atom. For the excess energy over the best structure of this formula in the dataset, the calculation gives 465.4 meV per atom. For the calculated total energy, the calculation gives -2.057 eV/atom.



4.
Entry from Alexandria: a relaxed structure of Cs3Ga2Bi4 (GGA-PBE).

Cell lengths 15.6531, 12.8247, 8.4992 Å; angles 90.00, 104.16, 90.00 degrees
Space group C2/c (No. 15)
Inequivalent atoms, fractional coordinates:
1 Cs 0.0000 0.0917 0.2500
2 Cs 0.1269 0.3741 0.5796
3 Ga 0.2066 0.1121 0.0148
4 Bi 0.1423 0.3144 0.0865
5 Bi 0.1947 0.0857 0.6718

The crystal system is monoclinic. The formation energy is -254 meV/atom. For the calculated total energy, the calculation gives -2.936 eV/atom.



5.
Entry from Alexandria: a relaxed structure of Cs3GaBi2 (GGA-PBE).

Cell lengths 15.2295, 4.9417, 16.4996 Å; angles 90.00, 90.00, 90.00 degrees
Space group Pnma (No. 62)
Inequivalent atoms, fractional coordinates:
1 Cs 0.0726 0.2500 0.1137
2 Cs 0.1151 0.7500 0.5579
3 Cs 0.1733 0.2500 0.7904
4 Ga 0.1504 0.2500 0.3717
5 Bi 0.0691 0.7500 0.3187
6 Bi 0.2041 0.7500 0.9687

The crystal system is orthorhombic. The formation energy is -322 meV/atom. For the calculated total energy, the calculation gives -2.547 eV/atom.



6.
Entry from Alexandria: a relaxed structure of Cs3Ga2Bi5 (GGA-PBE).

Cell lengths 11.0124, 17.6383, 8.4120 Å; angles 90.00, 90.00, 90.00 degrees
Space group Ibam (No. 72)
Inequivalent atoms, fractional coordinates:
1 Cs 0.0000 0.0000 0.2500
2 Cs 0.2395 0.3620 0.0000
3 Ga 0.1010 0.1519 0.0000
4 Bi 0.0000 0.2494 0.2500
5 Bi 0.0000 0.5000 0.2500
6 Bi 0.1247 0.3748 0.5000

The crystal system is orthorhombic. The formation energy is -145 meV/atom. For the calculated total energy, the calculation gives -2.947 eV/atom.



7.
Entry from Alexandria: a relaxed structure of Cs5Ga2Bi5 (GGA-PBE).

Cell lengths 20.4655, 5.3793, 13.6737 Å; angles 90.00, 124.23, 90.00 degrees
Space group C2/m (No. 12)
Inequivalent atoms, fractional coordinates:
1 Cs 0.0000 0.0000 0.0000
2 Cs 0.1113 0.5000 0.3875
3 Cs 0.1381 0.5000 0.7967
4 Ga 0.1702 0.0000 0.6378
5 Bi 0.0000 0.0000 0.5000
6 Bi 0.1862 0.5000 0.1424
7 Bi 0.2081 0.0000 0.2827

The crystal system is monoclinic. The formation energy is -238 meV/atom. For the calculated total energy, the calculation gives -2.715 eV/atom.



8.
Entry from Alexandria: a relaxed structure of CsGa2Bi2 (GGA-PBE).

Cell lengths 8.2988, 13.3974, 7.9458 Å; angles 90.00, 119.67, 90.00 degrees
Space group C2/c (No. 15)
Inequivalent atoms, fractional coordinates:
1 Cs 0.0000 0.1247 0.2500
2 Ga 0.1338 0.3754 0.0020
3 Bi 0.0000 0.2028 0.7500
4 Bi 0.0000 0.4513 0.2500

The crystal system is monoclinic. The formation energy is -133 meV/atom. For the excess energy over the best structure of this formula in the dataset, the calculation gives 81.9 meV per atom. For the calculated total energy, the calculation gives -3.067 eV/atom.



9.
Entry from Alexandria: a relaxed structure of CsGa2Bi (GGA-PBE).

Cell lengths 8.9945, 8.9945, 7.7514 Å; angles 90.00, 90.00, 90.00 degrees
Space group I-42d (No. 122)
Inequivalent atoms, fractional coordinates:
1 Cs 0.0000 0.0000 0.0000
2 Ga 0.1802 0.2500 0.6250
3 Bi 0.0000 0.0000 0.5000

The crystal system is tetragonal. The formation energy is 76 meV/atom. For the calculated total energy, the calculation gives -2.621 eV/atom.



10.
Entry from Alexandria: a relaxed structure of CsGaBi2 (GGA-PBE).

Cell lengths 6.6487, 15.2826, 6.7628 Å; angles 90.00, 112.70, 90.00 degrees
Space group C2/c (No. 15)
Inequivalent atoms, fractional coordinates:
1 Cs 0.0000 0.1093 0.2500
2 Ga 0.0000 0.2587 0.7500
3 Bi 0.1538 0.3665 0.1259

The crystal system is monoclinic. The formation energy is -221 meV/atom. For the calculated total energy, the calculation gives -3.132 eV/atom.



11.
Entry from Alexandria: a relaxed structure of Cs3Ga2Bi3 (GGA-PBE).

Cell lengths 5.2528, 15.0997, 17.0398 Å; angles 90.00, 90.00, 90.00 degrees
Space group Cmcm (No. 63)
Inequivalent atoms, fractional coordinates:
1 Cs 0.0000 0.0699 0.1074
2 Cs 0.0000 0.3675 0.2500
3 Ga 0.0000 0.2281 0.6008
4 Bi 0.0000 0.3212 0.7500
5 Bi 0.0000 0.3331 0.0400

The crystal system is orthorhombic. The formation energy is -261 meV/atom. For the calculated total energy, the calculation gives -2.793 eV/atom.



12.
Entry from Alexandria: a relaxed structure of Cs2Ga2Bi (GGA-PBE).

Cell lengths 3.8429, 3.8429, 25.8380 Å; angles 90.00, 90.00, 90.00 degrees
Space group I4/mmm (No. 139)
Inequivalent atoms, fractional coordinates:
1 Cs 0.0000 0.0000 0.1100
2 Ga 0.0000 0.5000 0.2500
3 Bi 0.0000 0.0000 0.5000

The crystal system is tetragonal. The formation energy is -66 meV/atom. For the excess energy over the best structure of this formula in the dataset, the calculation gives 127.8 meV per atom. For the calculated total energy, the calculation gives -2.395 eV/atom.



13.
Entry from Alexandria: a relaxed structure of CsGaBi2 (GGA-PBE).

Cell lengths 5.8412, 15.4562, 7.1927 Å; angles 90.00, 90.00, 90.00 degrees
Space group Cccm (No. 66)
Inequivalent atoms, fractional coordinates:
1 Cs 0.2500 0.2500 0.0000
2 Ga 0.0000 0.0000 0.2500
3 Bi 0.1826 0.4236 0.5000

The crystal system is orthorhombic. The formation energy is -145 meV/atom. For the calculated total energy, the calculation gives -3.055 eV/atom.



14.
Entry from Alexandria: a relaxed structure of CsGa2Bi2 (GGA-PBE).

Cell lengths 5.1188, 5.1188, 12.6855 Å; angles 90.00, 90.00, 90.00 degrees
Space group I4/mmm (No. 139)
Inequivalent atoms, fractional coordinates:
1 Cs 0.0000 0.0000 0.0000
2 Ga 0.0000 0.0000 0.3857
3 Bi 0.0000 0.5000 0.2500

The crystal system is tetragonal. The formation energy is -142 meV/atom. For the excess energy over the best structure of this formula in the dataset, the calculation gives 72.4 meV per atom. For the calculated total energy, the calculation gives -3.076 eV/atom.



15.
Entry from Alexandria: a relaxed structure of CsGa2Bi2 (GGA-PBE).

Cell lengths 4.8068, 4.8068, 15.8557 Å; angles 90.00, 90.00, 90.00 degrees
Space group I4/mmm (No. 139)
Inequivalent atoms, fractional coordinates:
1 Cs 0.0000 0.0000 0.0000
2 Ga 0.0000 0.5000 0.2500
3 Bi 0.0000 0.0000 0.3547

The crystal system is tetragonal. The formation energy is -215 meV/atom. For the excess energy over the best structure of this formula in the dataset, the calculation gives 0.0 meV per atom. For the calculated total energy, the calculation gives -3.149 eV/atom.



16.
Entry from Alexandria: a relaxed structure of CsGa2Bi2 (GGA-PBE).

Cell lengths 9.4200, 9.4200, 3.7632 Å; angles 90.00, 90.00, 90.00 degrees
Space group P4/mbm (No. 127)
Inequivalent atoms, fractional coordinates:
1 Cs 0.0000 0.0000 0.0000
2 Ga 0.1366 0.3634 0.0000
3 Bi 0.1241 0.6241 0.5000

The crystal system is tetragonal. The formation energy is -69 meV/atom. For the excess energy over the best structure of this formula in the dataset, the calculation gives 145.9 meV per atom. For the calculated total energy, the calculation gives -3.003 eV/atom.



17.
Entry from Alexandria: a relaxed structure of Cs2Ga2Bi3 (GGA-PBE).

Cell lengths 6.8197, 7.8960, 11.1671 Å; angles 90.00, 112.82, 90.00 degrees
Space group P2_1/c (No. 14)
Inequivalent atoms, fractional coordinates:
1 Cs 0.0645 0.0061 0.3476
2 Ga 0.4268 0.6501 0.5987
3 Bi 0.0000 0.0000 0.0000
4 Bi 0.4499 0.2094 0.1343

The crystal system is monoclinic. The formation energy is -167 meV/atom. For the calculated total energy, the calculation gives -2.939 eV/atom.



18.
Entry from Alexandria: a relaxed structure of CsGaBi4 (GGA-PBE).

Cell lengths 9.5826, 9.5826, 9.5826 Å; angles 90.00, 90.00, 90.00 degrees
Space group F-43m (No. 216)
Inequivalent atoms, fractional coordinates:
1 Cs 0.0000 0.0000 0.0000
2 Ga 0.2500 0.2500 0.7500
3 Bi 0.1229 0.1229 0.3771

The crystal system is cubic. The formation energy is 26 meV/atom. For the excess energy over the best structure of this formula in the dataset, the calculation gives 116.0 meV per atom. For the calculated total energy, the calculation gives -3.208 eV/atom.



19.
Entry from Alexandria: a relaxed structure of CsGa2Bi (GGA-PBE).

Cell lengths 8.5367, 5.7504, 13.6942 Å; angles 90.00, 90.00, 90.00 degrees
Space group Pnna (No. 52)
Inequivalent atoms, fractional coordinates:
1 Cs 0.0022 0.2500 0.2500
2 Ga 0.0012 0.6898 0.0543
3 Bi 0.2500 0.0000 0.9983

The crystal system is orthorhombic. The formation energy is -22 meV/atom. For the calculated total energy, the calculation gives -2.719 eV/atom.



20.
Entry from Alexandria: a relaxed structure of Cs2Ga2Bi (GGA-PBE).

Cell lengths 7.8365, 7.8365, 6.2355 Å; angles 90.00, 90.00, 90.00 degrees
Space group P4/mbm (No. 127)
Inequivalent atoms, fractional coordinates:
1 Cs 0.1923 0.3077 0.0000
2 Ga 0.1172 0.6172 0.5000
3 Bi 0.0000 0.0000 0.5000

The crystal system is tetragonal. The formation energy is -81 meV/atom. For the excess energy over the best structure of this formula in the dataset, the calculation gives 112.7 meV per atom. For the calculated total energy, the calculation gives -2.410 eV/atom.